The following is a DFT calculation (GGA-PBE) of crystalline Tb2Pm4NdSm2 at its relaxed geometry.

Properties
Magnetization in μB per formula unit: 0.00
Formation energy from the elements in eV/atom: 0.014

Lattice parameters (Å, degrees): 5.1337 8.1161 8.1037 107.54 90.00 108.44
With the nearest neighbours (Å) after each atom.
Element x y z (fractional)
Nd (0.0000, 0.0000, 0.0000)  6 Pm 3.62, 2 Sm 3.63, 4 Tb 3.64
Pm (0.4447, 0.8893, 0.6673)  2 Nd 3.62, 2 Tb 3.63-3.64, 4 Sm 3.63, 4 Pm 3.63-3.64
Tb (0.3325, 0.6649, 0.0005)  5 Pm 3.60-3.64, 2 Tb 3.61, 3 Sm 3.61-3.62, 2 Nd 3.64
Pm (0.2224, 0.4448, 0.3318)  3 Tb 3.60-3.62, 1 Nd 3.62, 3 Sm 3.62-3.64, 5 Pm 3.63-3.64
Pm (0.7776, 0.5552, 0.6682)  3 Tb 3.60-3.62, 1 Nd 3.62, 3 Sm 3.62-3.64, 5 Pm 3.63-3.64
Sm (0.8885, 0.7771, 0.3327)  3 Tb 3.61-3.62, 7 Pm 3.62-3.64, 1 Nd 3.63, 1 Sm 3.64
Tb (0.6675, 0.3351, 0.9995)  5 Pm 3.60-3.64, 2 Tb 3.61, 3 Sm 3.61-3.62, 2 Nd 3.64
Sm (0.1115, 0.2229, 0.6673)  3 Tb 3.61-3.62, 7 Pm 3.62-3.64, 1 Nd 3.63, 1 Sm 3.64
Pm (0.5553, 0.1107, 0.3327)  2 Nd 3.62, 2 Tb 3.63-3.64, 4 Sm 3.63, 4 Pm 3.63-3.64